[1]
Below is a relaxed TlInPtCl6 crystal, with properties calculated at the PBE level.

Unit cell a=6.6494 b=6.6494 c=7.1346 alpha=90.00 beta=90.00 gamma=120.00
Space group P312 (No. 149)
Inequivalent atoms, fractional coordinates:
Tl1 0.0000 0.0000 0.0000 x1
In1 0.6667 0.3333 0.5000 x1
Pt1 0.3333 0.6667 0.5000 x1
Cl1 0.0027 0.3688 0.7018 x6

Properties
ΔE_f (raw) in eV per formula unit: -6.682
V in Å³ per cell: 273

---

[2]
Below is a relaxed ZnIn2PtCl crystal, with properties calculated at the PBE level.

Unit cell a=5.220 b=5.220 c=4.900 alpha=90.00 beta=90.00 gamma=90.00
Space group P4/mmm (No. 123)
Inequivalent atoms, fractional coordinates:
Zn1 0.000 0.000 0.000 x1
In1 0.000 0.500 0.500 x2
Pt1 0.000 0.000 0.500 x1
Cl1 0.500 0.500 0.000 x1

Properties
ΔE_f (raw) in eV per formula unit: -2.488
V in Å³ per cell: 134

---

[3]
Below is a relaxed Pu2InCl crystal, with properties calculated at the PBE level.

Unit cell a=4.2135 b=4.2135 c=21.3105 alpha=90.00 beta=90.00 gamma=120.00
Space group R-3m (No. 166, hexagonal axes)
Inequivalent atoms, fractional coordinates:
Pu1 0.0000 0.0000 0.2350 x6
In1 0.0000 0.0000 0.0000 x3
Cl1 0.0000 0.0000 0.5000 x3

Properties
ΔE_f (raw) in eV per formula unit: -1.717
V in Å³ per cell: 328

---

[4]
Below is a relaxed Pu2In5Cl12 crystal, with properties calculated at the PBE level.

Unit cell a=17.314 b=8.195 c=10.164 alpha=90.00 beta=109.03 gamma=90.00
Space group C2/m (No. 12)
Inequivalent atoms, fractional coordinates:
Pu1 0.000 0.250 0.000 x4
In1 0.000 0.000 0.500 x2
In2 0.185 0.500 0.776 x4
In3 0.222 0.500 0.376 x4
Cl1 0.003 0.000 0.179 x4
Cl2 0.004 0.500 0.181 x4
Cl3 0.144 0.252 0.564 x8
Cl4 0.157 0.256 0.080 x8

Properties
ΔE_f (raw) in eV per formula unit: -23.887
V in Å³ per cell: 1363

---

[5]
Below is a relaxed PuInCl4 crystal, with properties calculated at the PBE level.

Unit cell a=5.384 b=8.292 c=8.273 alpha=90.00 beta=95.84 gamma=90.00
Space group P2_1/m (No. 11)
Inequivalent atoms, fractional coordinates:
Pu1 0.070 0.250 0.435 x2
In1 0.239 0.750 0.090 x2
Cl1 0.116 0.039 0.703 x4
Cl2 0.235 0.250 0.131 x2
Cl3 0.421 0.750 0.484 x2

Properties
ΔE_f (raw) in eV per formula unit: -9.166
V in Å³ per cell: 367

---

[6]
Below is a relaxed PuInCl2 crystal, with properties calculated at the PBE level.

Unit cell a=3.6412 b=3.6412 c=30.7050 alpha=90.00 beta=90.00 gamma=120.00
Space group R-3m (No. 166, hexagonal axes)
Inequivalent atoms, fractional coordinates:
Pu1 0.0000 0.0000 0.0000 x3
In1 0.0000 0.0000 0.5000 x3
Cl1 0.0000 0.0000 0.3951 x6

Properties
ΔE_f (raw) in eV per formula unit: -4.622
V in Å³ per cell: 353

---

[7]
Below is a relaxed PuInCl crystal, with properties calculated at the PBE level.

Unit cell a=3.350 b=5.889 c=8.613 alpha=70.57 beta=89.38 gamma=89.99
Space group P-1 (No. 2)
Inequivalent atoms, fractional coordinates:
Pu1 0.249 0.358 0.026 x2
In1 0.254 0.460 0.356 x2
Cl1 0.255 0.028 0.820 x2

Properties
ΔE_f (raw) in eV per formula unit: -1.482
V in Å³ per cell: 160

---

[8]
Below is a relaxed Pu2InCl6 crystal, with properties calculated at the PBE level.

Unit cell a=7.2604 b=7.2604 c=6.8268 alpha=90.00 beta=90.00 gamma=120.00
Space group P-31m (No. 162)
Inequivalent atoms, fractional coordinates:
Pu1 0.3333 0.6667 0.0000 x2
In1 0.0000 0.0000 0.5000 x1
Cl1 0.0000 0.3684 0.2284 x6

Properties
ΔE_f (raw) in eV per formula unit: -15.187
V in Å³ per cell: 312

---

[9]
Below is a relaxed Pu2InCl crystal, with properties calculated at the PBE level.

Unit cell a=3.286 b=3.286 c=9.008 alpha=90.00 beta=90.00 gamma=90.00
Space group P4/mmm (No. 123)
Inequivalent atoms, fractional coordinates:
Pu1 0.000 0.000 0.237 x2
In1 0.500 0.500 0.500 x1
Cl1 0.500 0.500 0.000 x1

Properties
ΔE_f (raw) in eV per formula unit: -2.330
V in Å³ per cell: 97

---

[10]
Below is a relaxed PuInCl4 crystal, with properties calculated at the PBE level.

Unit cell a=16.663 b=6.803 c=7.429 alpha=90.00 beta=106.33 gamma=90.00
Space group C2/c (No. 15)
Inequivalent atoms, fractional coordinates:
Pu1 0.250 0.250 0.000 x4
In1 0.000 0.234 0.250 x4
Cl1 0.098 0.099 0.965 x8
Cl2 0.193 0.433 0.658 x8

Properties
ΔE_f (raw) in eV per formula unit: -9.258
V in Å³ per cell: 808

---

[11]
Below is a relaxed PuIn2Cl6 crystal, with properties calculated at the PBE level.

Unit cell a=6.940 b=6.940 c=13.333 alpha=90.00 beta=90.00 gamma=90.00
Space group P4_2/mnm (No. 136)
Inequivalent atoms, fractional coordinates:
Pu1 0.000 0.000 0.000 x2
In1 0.000 0.000 0.334 x4
Cl1 0.181 0.181 0.146 x8
Cl2 0.234 0.234 0.500 x4

Properties
ΔE_f (raw) in eV per formula unit: -11.972
V in Å³ per cell: 642

---

[12]
Below is a relaxed Pu2InCl8 crystal, with properties calculated at the PBE level.

Unit cell a=8.489 b=12.685 c=5.427 alpha=90.00 beta=99.82 gamma=90.00
Space group C2/m (No. 12)
Inequivalent atoms, fractional coordinates:
Pu1 0.000 0.179 0.000 x4
In1 0.000 0.500 0.500 x2
Cl1 0.000 0.240 0.500 x4
Cl2 0.103 0.000 0.276 x4
Cl3 0.192 0.362 0.082 x8

Properties
ΔE_f (raw) in eV per formula unit: -17.430
V in Å³ per cell: 576